CaTl3W2O9 | the Alexandria database | GGA+U | relaxed; crystal system = trigonal; volume = 14.72 Å³/atom; SG = P-3m1; raw total energy = -93.80 eV for the cell shown; size of the total moment = 0.00 μB per formula unit
1.0
5.835 0.000 0.000
-2.918 5.053 0.000
0.000 0.000 7.489
Ca Tl W O
1 3 2 9
direct
0.000 0.000 0.000
0.000 0.000 0.500
0.333 0.667 0.169
0.667 0.333 0.831
0.333 0.667 0.662
0.667 0.333 0.338
0.000 0.500 0.500
0.177 0.353 0.797
0.177 0.823 0.797
0.353 0.177 0.203
0.500 0.000 0.500
0.500 0.500 0.500
0.647 0.823 0.797
0.823 0.177 0.203
0.823 0.647 0.203